Record 1
The following is a PBE-GGA calculation of crystalline Y5Os2Au2 at its relaxed geometry, from Alexandria.

a b c (Å): 7.434 7.514 8.669
angles (deg): 90.00 64.61 90.00
Fractional coordinates of all 18 atoms:
Y 0.000 0.000 0.000
Y 0.500 0.500 0.000
Y 0.451 0.179 0.740
Y 0.809 0.821 0.740
Y 0.309 0.679 0.740
Y 0.951 0.321 0.740
Y 0.549 0.821 0.260
Y 0.191 0.179 0.260
Y 0.691 0.321 0.260
Y 0.049 0.679 0.260
Os 0.116 0.383 0.000
Os 0.884 0.617 0.000
Os 0.384 0.883 0.000
Os 0.616 0.117 0.000
Au 0.213 0.000 0.574
Au 0.713 0.500 0.574
Au 0.787 0.000 0.426
Au 0.287 0.500 0.426

Values from the calculation:
- Total energy: -65.8 eV/f.u.
- E_form: -0.497 eV per atom

---

Record 2
The following is a PBE-GGA calculation of crystalline Er2Zn5Pt4 at its relaxed geometry, from Alexandria.

a b c (Å): 5.271 5.234 8.793
angles (deg): 81.32 72.56 59.77
Fractional coordinates of all 11 atoms:
Er 0.857 0.000 0.285
Er 0.143 0.000 0.715
Zn 0.500 0.000 0.000
Zn 0.000 0.500 0.000
Zn 0.500 0.500 0.000
Zn 0.250 0.500 0.500
Zn 0.750 0.500 0.500
Pt 0.467 0.321 0.745
Pt 0.533 0.679 0.255
Pt 0.212 0.321 0.255
Pt 0.788 0.679 0.745

Values from the calculation:
- Total energy: -47.5 eV/f.u.
- E_form: -0.717 eV per atom

---

Record 3
The following is a PBE-GGA calculation of crystalline SbTeAs2 at its relaxed geometry, from Alexandria.

a b c (Å): 5.100 5.100 5.100
angles (deg): 60.00 60.00 60.00
Fractional coordinates of all 4 atoms:
Sb 0.500 0.500 0.500
As 0.000 0.000 0.000
As 0.250 0.250 0.250
Te 0.750 0.750 0.750

Values from the calculation:
- Total energy: -15.1 eV/f.u.
- Formation energy (no corrections): 0.370 eV/atom